Compound: ZnAsBr2
Source: Alexandria via LeMat-Bulk
Functional: GGA-PBE
Structure: optimized geometry

The magnetic moment is 0.000 μB per formula unit. The density of states at the Fermi level is 0.109 states/eV per atom. The calculation puts the energy relative to the lowest polymorph listed for this composition at 0.194 eV/atom. For the total energy, the calculation gives -2.437 eV per atom.

a b c (Å): 3.7721 7.7599 7.7577
angles (deg): 39.90 90.00 90.00
Last column: nearest neighbours and their distance in Å.
Sites, in units of the cell vectors:
1 Br 0.0000 0.6193 0.6181  2 As 2.69
2 Br 0.0000 0.8807 0.8819  2 As 2.69
3 As 0.5000 0.7500 0.7500  2 Zn 2.65, 4 Br 2.69
4 Zn 0.5000 0.2500 0.2500  2 As 2.65



Compound: Zn2AsBr
Source: Alexandria via LeMat-Bulk
Functional: GGA-PBE
Structure: optimized geometry

The magnetic moment is 0.000 μB per formula unit. The density of states at the Fermi level is 0.412 states/eV per atom. The calculation puts the energy relative to the lowest polymorph listed for this composition at 0.579 eV/atom. For the total energy, the calculation gives -2.051 eV per atom.

a b c (Å): 6.1680 6.1680 5.4398
angles (deg): 73.04 73.04 32.10
Last column: nearest neighbours and their distance in Å.
Sites, in units of the cell vectors:
1 As 0.7500 0.7500 0.7500  4 Zn 2.62
2 Br 0.2500 0.2500 0.2500  2 Zn 2.75
3 Zn 0.0845 0.0845 0.7312  2 Zn 2.59, 2 As 2.62, 1 Br 2.75
4 Zn 0.4155 0.4155 0.7688  2 Zn 2.59, 2 As 2.62, 1 Br 2.75



Compound: Zn2AsBr
Source: Alexandria via LeMat-Bulk
Functional: GGA-PBE
Structure: optimized geometry

The magnetic moment is 0.000 μB per formula unit. The density of states at the Fermi level is 0.155 states/eV per atom. The calculation puts the energy relative to the lowest polymorph listed for this composition at 0.405 eV/atom. For the total energy, the calculation gives -2.225 eV per atom.

a b c (Å): 5.5473 5.5473 3.3616
angles (deg): 67.69 67.69 83.74
Last column: nearest neighbours and their distance in Å.
Sites, in units of the cell vectors:
1 Zn 0.5000 0.5000 0.0000  2 As 2.64, 2 Br 2.64
2 Zn 0.0000 0.0000 0.0000  2 Br 2.64, 2 As 2.64
3 As 0.5000 0.0000 0.5000  4 Zn 2.64
4 Br 0.0000 0.5000 0.5000  4 Zn 2.64



Compound: Zn2AsBr
Source: Alexandria via LeMat-Bulk
Functional: GGA-PBE
Structure: optimized geometry

The magnetic moment is 0.000 μB per formula unit. The density of states at the Fermi level is 0.737 states/eV per atom. The calculation puts the energy relative to the lowest polymorph listed for this composition at 0.847 eV/atom. For the total energy, the calculation gives -1.783 eV per atom.

a b c (Å): 4.8659 4.8659 4.8659
angles (deg): 60.00 60.00 60.00
Last column: nearest neighbours and their distance in Å.
Sites, in units of the cell vectors:
1 Zn 0.0000 0.0000 0.0000  4 Zn 2.98, 4 Br 2.98
2 Zn 0.2500 0.2500 0.2500  4 As 2.98, 4 Zn 2.98
3 Br 0.7500 0.7500 0.7500  4 Zn 2.98, 4 As 2.98
4 As 0.5000 0.5000 0.5000  4 Br 2.98, 4 Zn 2.98



Compound: ZnAsBr2
Source: Alexandria via LeMat-Bulk
Functional: GGA-PBE
Structure: optimized geometry

The magnetic moment is 0.000 μB per formula unit. The density of states at the Fermi level is 0.075 states/eV per atom. The calculation puts the energy relative to the lowest polymorph listed for this composition at 0.366 eV/atom. For the total energy, the calculation gives -2.265 eV per atom.

a b c (Å): 3.4258 3.4258 8.4683
angles (deg): 90.00 90.00 90.00
Last column: nearest neighbours and their distance in Å.
Sites, in units of the cell vectors:
1 Br 0.5000 0.5000 0.3459  4 Zn 2.89, 1 As 2.98
2 Br 0.0000 0.0000 0.9242  4 As 3.09, 1 Zn 3.33, 4 Br 3.43
3 As 0.5000 0.5000 0.6984  4 Zn 2.80, 5 Br 2.98-3.09
4 Zn 0.0000 0.0000 0.5315  4 As 2.80, 4 Br 2.89



Compound: Zn3AsBr
Source: Alexandria via LeMat-Bulk
Functional: GGA-PBE
Structure: optimized geometry

The magnetic moment is 0.000 μB per formula unit. The density of states at the Fermi level is 0.263 states/eV per atom. The calculation puts the energy relative to the lowest polymorph listed for this composition at 0.000 eV/atom. For the total energy, the calculation gives -1.999 eV per atom.

a b c (Å): 5.0472 5.0472 5.0472
angles (deg): 90.00 90.00 90.00
Last column: nearest neighbours and their distance in Å.
Sites, in units of the cell vectors:
1 Br 0.5000 0.5000 0.5000  12 Zn 3.57
2 Zn 0.0000 0.5000 0.0000  2 As 2.52
3 Zn 0.5000 0.0000 0.0000  2 As 2.52
4 Zn 0.0000 0.0000 0.5000  2 As 2.52
5 As 0.0000 0.0000 0.0000  6 Zn 2.52



Compound: Zn2AsBr
Source: Alexandria via LeMat-Bulk
Functional: GGA-PBE
Structure: optimized geometry

The magnetic moment is 0.153 μB per formula unit. The density of states at the Fermi level is 0.497 states/eV per atom. The calculation puts the energy relative to the lowest polymorph listed for this composition at 0.482 eV/atom. For the total energy, the calculation gives -2.148 eV per atom.

a b c (Å): 5.7901 5.7901 5.7901
angles (deg): 143.29 91.81 99.60
Last column: nearest neighbours and their distance in Å.
Sites, in units of the cell vectors:
1 Br 0.7500 0.2500 0.5000  4 Zn 2.74
2 Zn 0.0241 0.0241 0.0000  2 As 2.49, 2 Br 2.74
3 Zn 0.4759 0.4759 0.0000  2 As 2.49, 2 Br 2.74
4 As 0.2500 0.7500 0.5000  4 Zn 2.49



Compound: ZnAsBr2
Source: Alexandria via LeMat-Bulk
Functional: GGA-PBE
Structure: optimized geometry

The magnetic moment is 0.001 μB per formula unit. The density of states at the Fermi level is 0.940 states/eV per atom. The calculation puts the energy relative to the lowest polymorph listed for this composition at 0.804 eV/atom. For the total energy, the calculation gives -1.826 eV per atom.

a b c (Å): 5.0478 5.0478 5.0478
angles (deg): 60.00 60.00 60.00
Last column: nearest neighbours and their distance in Å.
Sites, in units of the cell vectors:
1 Zn 0.2500 0.2500 0.2500  4 As 3.09, 4 Br 3.09
2 Br 0.0000 0.0000 0.0000  4 Br 3.09, 4 Zn 3.09
3 Br 0.7500 0.7500 0.7500  4 As 3.09, 4 Br 3.09
4 As 0.5000 0.5000 0.5000  4 Zn 3.09, 4 Br 3.09



> Look up the energy relative to the lowest polymorph listed for this composition of the eighth one.

0.804 eV/atom



> Which of these has the lowest energy relative to the lowest polymorph listed for this composition?

Zn3AsBr